Entry from Alexandria: an optimized crystal structure of SrCdSn (PBE-GGA).

Cell: 4.9542 7.9421 13.6028 Å, 90.02 90.00 90.00°
With the nearest neighbours (Å) after each atom.
Positions (direct):
Cd (0.7500, 0.1660, 0.5446)  4 Sn 2.96-3.10
Cd (0.2500, 0.8340, 0.4554)  4 Sn 2.96-3.10
Cd (0.2500, 0.3374, 0.2101)  4 Sn 3.03-3.08, 1 Cd 3.17
Cd (0.7500, 0.0148, 0.9001)  4 Sn 2.97-3.14, 1 Cd 3.17
Cd (0.7500, 0.6626, 0.7899)  4 Sn 3.03-3.08, 1 Cd 3.17
Cd (0.2500, 0.9852, 0.0999)  4 Sn 2.97-3.14, 1 Cd 3.17
Sn (0.7500, 0.7791, 0.5737)  4 Cd 2.99-3.10
Sn (0.2500, 0.7723, 0.9088)  5 Cd 3.08-3.14, 1 Sr 3.42
Sn (0.2500, 0.2209, 0.4263)  4 Cd 2.99-3.10
Sn (0.7500, 0.2277, 0.0912)  5 Cd 3.08-3.14, 1 Sr 3.42
Sn (0.2500, 0.7126, 0.2493)  3 Cd 2.96-3.03
Sn (0.7500, 0.2874, 0.7507)  3 Cd 2.96-3.03
Sr (0.2500, 0.3354, 0.9217)  5 Sn 3.42-3.49, 3 Cd 3.56-3.69
Sr (0.2500, 0.0003, 0.6956)  5 Sn 3.42-3.46, 5 Cd 3.48-3.73
Sr (0.7500, 0.9997, 0.3044)  5 Sn 3.42-3.46, 5 Cd 3.48-3.73
Sr (0.7500, 0.5073, 0.3722)  5 Sn 3.40-3.49, 5 Cd 3.58-3.76
Sr (0.2500, 0.4927, 0.6278)  5 Sn 3.40-3.49, 5 Cd 3.58-3.76
Sr (0.7500, 0.6646, 0.0783)  5 Sn 3.42-3.49, 3 Cd 3.56-3.69

Summary:
total magnetization: 0.00 μB/cell
final energy: -49.02 eV per cell
SG: No. 11
energy of formation: -0.52 eV/atom
crystal system: monoclinic
mass density: 5933 kg/m3